! PBE YNb2N4, relaxed; values from VASP
&SYSTEM
  ibrav = 0, nat = 14, ntyp = 3
/
ATOMIC_SPECIES
Nb 92.91 Nb.upf
N 14.01 N.upf
Y 88.91 Y.upf
CELL_PARAMETERS angstrom
0.9075 4.4119 -2.8911
-2.9076 -2.2263 3.9035
6.9804 3.1478 6.9947
ATOMIC_POSITIONS crystal
Nb 0.8707 0.1293 0.0680
Nb 0.1293 0.8707 0.9320
Nb 0.8707 0.1293 0.4320
Nb 0.1293 0.8707 0.5680
N 0.7686 0.2314 0.6144
N 0.5000 0.5000 0.0000
N 0.2314 0.7686 0.3856
N 0.5000 0.5000 0.5000
N 0.9436 0.0563 0.2500
N 0.7686 0.2314 0.8856
N 0.0563 0.9436 0.7500
N 0.2314 0.7686 0.1144
Y 0.6157 0.3843 0.2500
Y 0.3843 0.6157 0.7500
! * uncorrected energy: -9.721 eV per atom
! * symmetry: No. 63